Record 1
Ac3Ga2AgPd6: optimized geometry, PBE-GGA.

Computed properties:
DFT formation energy = -623 meV per atom
Final energy = -4.99 eV per atom
Theoretical density = 9.6 g cm⁻³

Lattice parameters (Å, degrees): 5.881 5.881 9.090 90.00 90.00 120.00
Sites, in units of the cell vectors:
Ac1 0.333 0.667 0.626
Pd1 0.349 0.174 0.731
Ac2 0.667 0.333 0.374
Pd2 0.174 0.826 0.269
Pd3 0.826 0.174 0.731
Ga1 0.333 0.667 0.035
Pd4 0.826 0.651 0.731
Ga2 0.667 0.333 0.965
Pd5 0.651 0.826 0.269
Ag1 0.000 0.000 0.500
Ac3 0.000 0.000 0.000
Pd6 0.174 0.349 0.269

---

Record 2
Sr2CoRu: optimized geometry, PBE-GGA.

Computed properties:
DFT formation energy = 771 meV per atom
Final energy = -4.17 eV per atom
Theoretical density = 5.7 g cm⁻³

Lattice parameters (Å, degrees): 8.031 5.278 3.507 89.97 64.15 128.03
Sites, in units of the cell vectors:
Sr1 0.500 0.000 0.500
Ru1 0.500 0.500 0.000
Sr2 0.000 0.000 0.000
Co1 0.000 0.500 0.500

---

Record 3
ScCu2Ag2: optimized geometry, PBE-GGA.

Computed properties:
DFT formation energy = 54 meV per atom
Final energy = -3.99 eV per atom
Theoretical density = 7.6 g cm⁻³
Distance to the lowest polymorph of the same formula = 0.067 eV/atom

Lattice parameters (Å, degrees): 7.511 7.511 2.987 90.00 90.00 90.00
Sites, in units of the cell vectors:
Sc1 0.000 0.000 0.000
Ag1 0.131 0.369 0.000
Sc2 0.500 0.500 0.000
Ag2 0.631 0.131 0.000
Ag3 0.869 0.631 0.000
Cu1 0.168 0.668 0.500
Ag4 0.369 0.869 0.000
Cu2 0.832 0.332 0.500
Cu3 0.332 0.168 0.500
Cu4 0.668 0.832 0.500

---

Record 4
Fe2SiBr: optimized geometry, PBE-GGA.

Computed properties:
Uncorrected formation energy = 0.672 eV/atom
Final energy = -5.33 eV per atom
Theoretical density = 5.8 g cm⁻³
Distance to the lowest polymorph of the same formula = 0.595 eV/atom

Lattice parameters (Å, degrees): 5.746 5.746 5.746 144.89 144.89 50.50
Sites, in units of the cell vectors:
Fe1 0.250 0.750 0.500
Fe2 0.000 0.000 0.000
Si1 0.500 0.500 0.000
Br1 0.750 0.250 0.500

---

Record 5
Cr3SiTc: optimized geometry, PBE-GGA.

Computed properties:
Uncorrected formation energy = 1.134 eV/atom
Final energy = -7.80 eV per atom
Theoretical density = 6.4 g cm⁻³
Distance to the lowest polymorph of the same formula = 0.000 eV/atom

Lattice parameters (Å, degrees): 4.172 4.172 4.172 90.00 90.00 90.00
Sites, in units of the cell vectors:
Cr1 0.500 0.000 0.000
Tc1 0.500 0.500 0.500
Cr2 0.000 0.000 0.500
Cr3 0.000 0.500 0.000
Si1 0.000 0.000 0.000

---

Record 6
Nd2Y7Sc2: optimized geometry, PBE-GGA.

Computed properties:
DFT formation energy = 55 meV per atom
Final energy = -6.08 eV per atom
Theoretical density = 4.8 g cm⁻³
Distance to the lowest polymorph of the same formula = 0.000 eV/atom

Lattice parameters (Å, degrees): 3.518 13.880 10.120 57.25 121.40 97.26
Sites, in units of the cell vectors:
Y1 0.334 0.360 0.103
Sc1 0.996 0.904 0.696
Y2 0.000 0.000 0.000
Y3 0.711 0.569 0.617
Y4 0.289 0.431 0.383
Nd1 0.624 0.716 0.177
Y5 0.064 0.833 0.431
Sc2 0.004 0.096 0.304
Nd2 0.376 0.284 0.823
Y6 0.936 0.167 0.569
Y7 0.666 0.640 0.897

---

Record 7
Nd3ZnIr: optimized geometry, PBE-GGA.

Computed properties:
DFT formation energy = -395 meV per atom
Final energy = -5.28 eV per atom
Theoretical density = 8.1 g cm⁻³

Lattice parameters (Å, degrees): 6.079 7.024 7.452 99.05 89.98 64.39
Sites, in units of the cell vectors:
Nd1 0.357 0.556 0.443
Nd2 0.780 0.285 0.042
Nd3 0.464 0.909 0.130
Zn1 0.168 0.931 0.777
Zn2 0.943 0.930 0.276
Ir1 0.577 0.592 0.798
Nd4 0.668 0.909 0.630
Ir2 0.872 0.592 0.298
Nd5 0.975 0.285 0.541
Nd6 0.128 0.555 0.942

---

Record 8
ZrZn2Au: optimized geometry, PBE-GGA.

Computed properties:
DFT formation energy = -115 meV per atom
Final energy = -3.71 eV per atom
Theoretical density = 9.6 g cm⁻³

Lattice parameters (Å, degrees): 5.458 5.558 2.813 79.95 80.80 116.78
Sites, in units of the cell vectors:
Zr1 0.000 0.500 0.500
Au1 0.500 0.500 0.000
Zn1 0.500 0.000 0.500
Zn2 0.000 0.000 0.000

---

Record 9
Y2HgBr: optimized geometry, PBE-GGA.

Computed properties:
Uncorrected formation energy = -0.464 eV/atom
Final energy = -4.19 eV per atom
Theoretical density = 6.7 g cm⁻³
Distance to the lowest polymorph of the same formula = 0.261 eV/atom

Lattice parameters (Å, degrees): 3.665 6.240 4.975 90.00 90.00 90.00
Sites, in units of the cell vectors:
Y1 0.500 0.500 0.000
Hg1 0.000 0.500 0.500
Br1 0.500 0.000 0.500
Y2 0.000 0.000 0.000

---

Record 10
TlPbOF2: optimized geometry, PBE-GGA.

Computed properties:
Uncorrected formation energy = -1.205 eV/atom
Final energy = -4.16 eV per atom
Theoretical density = 8.0 g cm⁻³
Distance to the lowest polymorph of the same formula = 0.330 eV/atom

Lattice parameters (Å, degrees): 4.652 4.652 4.452 90.00 90.00 90.00
Sites, in units of the cell vectors:
F1 0.500 0.000 0.000
Pb1 0.500 0.500 0.500
Tl1 0.000 0.000 0.000
O1 0.000 0.000 0.500
F2 0.000 0.500 0.000

---

Record 11
GaAs2BrN: optimized geometry, PBE-GGA.

Computed properties:
Uncorrected formation energy = 0.842 eV/atom
Final energy = -3.62 eV per atom
Theoretical density = 5.4 g cm⁻³
Distance to the lowest polymorph of the same formula = 0.000 eV/atom

Lattice parameters (Å, degrees): 4.391 4.391 4.976 90.00 90.00 90.00
Sites, in units of the cell vectors:
Ga1 0.500 0.500 0.500
N1 0.000 0.000 0.000
Br1 0.000 0.000 0.500
As1 0.000 0.500 0.000
As2 0.500 0.000 0.000

---

Record 12
BaGa3As: optimized geometry, PBE-GGA.

Computed properties:
DFT formation energy = 9 meV per atom
Final energy = -3.12 eV per atom
Theoretical density = 5.0 g cm⁻³
Distance to the lowest polymorph of the same formula = 0.000 eV/atom

Lattice parameters (Å, degrees): 5.175 5.175 5.175 90.00 90.00 90.00
Sites, in units of the cell vectors:
Ga1 0.000 0.000 0.500
Ba1 0.500 0.500 0.500
Ga2 0.000 0.500 0.000
As1 0.000 0.000 0.000
Ga3 0.500 0.000 0.000